The following is a PBE-GGA calculation of a relaxed structure of ReH8I6N2, from Alexandria.

Unit cell a=8.0143 b=8.0143 c=12.1254 alpha=90.00 beta=90.00 gamma=90.00
Closest atoms and distances in Å follow each position.
Sites, in units of the cell vectors:
Re: 0.0000 0.0000 0.0000  6 I 2.75-2.76
Re: 0.5000 0.5000 0.5000  6 I 2.75-2.76
H: 0.0016 0.3950 0.2003  1 N 1.04
H: 0.0016 0.3950 0.7997  1 N 1.04
H: 0.1050 0.4984 0.2997  1 N 1.04
H: 0.1050 0.4984 0.7003  1 N 1.04
H: 0.3950 0.9984 0.2003  1 N 1.04
H: 0.3950 0.9984 0.7997  1 N 1.04
H: 0.4984 0.8950 0.2997  1 N 1.04
H: 0.4984 0.8950 0.7003  1 N 1.04
H: 0.5016 0.1050 0.2997  1 N 1.04
H: 0.5016 0.1050 0.7003  1 N 1.04
H: 0.6050 0.0016 0.2003  1 N 1.04
H: 0.6050 0.0016 0.7997  1 N 1.04
H: 0.8950 0.5016 0.2997  1 N 1.04
H: 0.8950 0.5016 0.7003  1 N 1.04
H: 0.9984 0.6050 0.2003  1 N 1.04
H: 0.9984 0.6050 0.7997  1 N 1.04
I: 0.0000 0.0000 0.2274  1 Re 2.76
I: 0.0000 0.0000 0.7726  1 Re 2.76
I: 0.1844 0.2891 0.0000  1 Re 2.75, 2 H 2.96
I: 0.2109 0.3156 0.5000  1 Re 2.75, 2 H 2.96
I: 0.2891 0.8156 0.0000  1 Re 2.75, 2 H 2.96
I: 0.3156 0.7891 0.5000  1 Re 2.75, 2 H 2.96
I: 0.5000 0.5000 0.2726  1 Re 2.76
I: 0.5000 0.5000 0.7274  1 Re 2.76
I: 0.6844 0.2109 0.5000  1 Re 2.75, 2 H 2.96
I: 0.7109 0.1844 0.0000  1 Re 2.75, 2 H 2.96
I: 0.7891 0.6844 0.5000  1 Re 2.75, 2 H 2.96
I: 0.8156 0.7109 0.0000  1 Re 2.75, 2 H 2.96
N: 0.0000 0.5000 0.2500  4 H 1.04
N: 0.0000 0.5000 0.7500  4 H 1.04
N: 0.5000 0.0000 0.2500  4 H 1.04
N: 0.5000 0.0000 0.7500  4 H 1.04

Computed properties:
Its total energy is -4.146 eV per atom. As for the space group: P4/mnc, No. 128.